(1)
VASP calculation (GGA-PBE) on AcH5Pd after structural relaxation.

It has space group C2/c (No. 15), with a = 8.5855 Å, b = 4.3522 Å, c = 8.5506 Å, α = 90.00°, β = 109.18° and γ = 90.00°. Symmetry generates all atoms from Ac at (0.2500, 0.2500, 0.0000), H at (0.0000, 0.2160, 0.7500), H at (0.0477, 0.2518, 0.4582), H at (0.2075, 0.2516, 0.2975) and Pd at (0.0000, 0.2415, 0.2500).

The value obtained for the total energy is -4.0954 eV/atom. Its density of states at the Fermi level is 0.9 states/eV/f.u. The crystal system is monoclinic. The spin magnetization comes out at 0.00 μB/atom.

***

(2)
VASP calculation (GGA-PBE) on AcH2Pd after structural relaxation.

It has space group P2_1/c (No. 14), with a = 4.6982 Å, b = 7.3598 Å, c = 7.7100 Å, α = 90.00°, β = 98.79° and γ = 90.00°. Symmetry generates all atoms from Ac at (0.1835, 0.0795, 0.2774), H at (0.0481, 0.6661, 0.5474), H at (0.3846, 0.1607, 0.6112) and Pd at (0.3709, 0.6979, 0.4740).

The value obtained for the total energy is -4.5250 eV/atom. Its density of states at the Fermi level is 0.9 states/eV/f.u. The crystal system is monoclinic. The spin magnetization comes out at 0.00 μB/atom.

***

(3)
VASP calculation (GGA-PBE) on AcH2Pd6 after structural relaxation.

It has space group Fd-3m (No. 227, origin choice 2), with a = 10.4155 Å, b = 10.4155 Å, c = 10.4155 Å, α = 90.00°, β = 90.00° and γ = 90.00°. Symmetry generates all atoms from Ac at (0.1250, 0.1250, 0.1250), H at (0.0000, 0.0000, 0.5000) and Pd at (0.0705, 0.3750, 0.8750).

The value obtained for the total energy is -5.0349 eV/atom. Its density of states at the Fermi level is 6.1 states/eV/f.u. The crystal system is cubic. The spin magnetization comes out at 0.00 μB/atom.

***

(4)
VASP calculation (GGA-PBE) on AcH4Pd5 after structural relaxation.

It has space group Pmmn (No. 59, origin choice 2), with a = 6.0237 Å, b = 8.5466 Å, c = 4.9265 Å, α = 90.00°, β = 90.00° and γ = 90.00°. Symmetry generates all atoms from Ac at (0.2500, 0.2500, 0.2347), H at (0.0804, 0.7500, 0.4265), H at (0.2500, 0.5310, 0.8646), Pd at (0.0049, 0.5787, 0.2441) and Pd at (0.2500, 0.7500, 0.7562).

The value obtained for the total energy is -4.6709 eV/atom. Its density of states at the Fermi level is 1.5 states/eV/f.u. The crystal system is orthorhombic. The spin magnetization comes out at 0.00 μB/atom.

***

(5)
VASP calculation (GGA-PBE) on AcH4Pd after structural relaxation.

It has space group C2/c (No. 15), with a = 8.5450 Å, b = 4.7061 Å, c = 7.6413 Å, α = 90.00°, β = 108.43° and γ = 90.00°. Symmetry generates all atoms from Ac at (0.0000, 0.2163, 0.2500), H at (0.0399, 0.2948, 0.9197), H at (0.2072, 0.0539, 0.6039) and Pd at (0.2500, 0.2500, 0.0000).

The value obtained for the total energy is -4.2367 eV/atom. Its density of states at the Fermi level is 1.0 states/eV/f.u. The crystal system is monoclinic. The spin magnetization comes out at 0.00 μB/atom.

***

(6)
VASP calculation (GGA-PBE) on AcH7Pd5 after structural relaxation.

It has space group Cm (No. 8), with a = 5.8433 Å, b = 9.6654 Å, c = 5.2731 Å, α = 90.00°, β = 108.47° and γ = 90.00°. Symmetry generates all atoms from Ac at (0.0000, 0.0000, 0.0000), H at (0.0268, 0.5000, 0.9111), H at (0.1258, 0.0000, 0.5492), H at (0.1368, 0.5000, 0.3489), H at (0.3893, 0.2788, 0.2849), H at (0.4438, 0.2464, 0.7962), Pd at (0.0177, 0.3479, 0.1021), Pd at (0.1307, 0.2094, 0.5934) and Pd at (0.4494, 0.0000, 0.5481).

The value obtained for the total energy is -4.4022 eV/atom. Its density of states at the Fermi level is 2.4 states/eV/f.u. The crystal system is monoclinic. The spin magnetization comes out at 0.00 μB/atom.

***

(7)
VASP calculation (GGA-PBE) on AcH6Pd8 after structural relaxation.

It has space group R-3 (No. 148, hexagonal axes), with a = 8.2694 Å, b = 8.2694 Å, c = 8.8334 Å, α = 90.00°, β = 90.00° and γ = 120.00°. Symmetry generates all atoms from Ac at (0.0000, 0.0000, 0.0000), H at (0.0823, 0.2457, 0.7269), Pd at (0.0000, 0.0000, 0.3467) and Pd at (0.0064, 0.3575, 0.8805).

The value obtained for the total energy is -4.6702 eV/atom. Its density of states at the Fermi level is 4.1 states/eV/f.u. The crystal system is trigonal. The spin magnetization comes out at 0.00 μB/atom.

***

(8)
VASP calculation (GGA-PBE) on AcH2Pd4 after structural relaxation.

It has space group P4_2/mnm (No. 136), with a = 7.0835 Å, b = 7.0835 Å, c = 4.3762 Å, α = 90.00°, β = 90.00° and γ = 90.00°. Symmetry generates all atoms from Ac at (0.0000, 0.0000, 0.0000), H at (0.2130, 0.2130, 0.5000) and Pd at (0.0080, 0.6900, 0.5000).

The value obtained for the total energy is -4.8743 eV/atom. Its density of states at the Fermi level is 1.9 states/eV/f.u. The crystal system is tetragonal. The spin magnetization comes out at 0.00 μB/atom.

***

(9)
VASP calculation (GGA-PBE) on Ac2PmH12Pd3 after structural relaxation.

It has space group R-3m (No. 166, hexagonal axes), with a = 6.6281 Å, b = 6.6281 Å, c = 16.0168 Å, α = 90.00°, β = 90.00° and γ = 120.00°. Symmetry generates all atoms from Ac at (0.0000, 0.0000, 0.1118), Pm at (0.0000, 0.0000, 0.5000), H at (0.0391, 0.5195, 0.8862), H at (0.0603, 0.5302, 0.3126) and Pd at (0.0000, 0.5000, 0.0000).

The value obtained for the total energy is -4.1305 eV/atom. Its density of states at the Fermi level is 4.7 states/eV/f.u. The crystal system is trigonal. The spin magnetization comes out at 0.00 μB/atom.

***

(10)
VASP calculation (GGA-PBE) on AcPrH6Pd4 after structural relaxation.

It has space group P6/mmm (No. 191), with a = 4.9374 Å, b = 4.9374 Å, c = 7.4075 Å, α = 90.00°, β = 90.00° and γ = 120.00°. Symmetry generates all atoms from Ac at (0.0000, 0.0000, 0.0000), Pr at (0.0000, 0.0000, 0.5000), H at (0.0000, 0.5000, 0.1580) and Pd at (0.3333, 0.6667, 0.2997).

The value obtained for the total energy is -4.5638 eV/atom. Its density of states at the Fermi level is 1.5 states/eV/f.u. The crystal system is hexagonal. The spin magnetization comes out at 0.00 μB/atom.

***

(11)
VASP calculation (GGA-PBE) on AcH4Pd2Pt after structural relaxation.

It has space group C2 (No. 5), with a = 7.0690 Å, b = 7.8574 Å, c = 4.9990 Å, α = 90.00°, β = 134.94° and γ = 90.00°. Symmetry generates all atoms from Ac at (0.0000, 0.0000, 0.0000), H at (0.1743, 0.6931, 0.9812), H at (0.1927, 0.3074, 0.3670), Pd at (0.0000, 0.2504, 0.5000), Pd at (0.0000, 0.5000, 0.0000) and Pt at (0.0000, 0.7497, 0.5000).

The value obtained for the total energy is -4.6391 eV/atom. Its density of states at the Fermi level is 2.5 states/eV/f.u. The crystal system is monoclinic. The spin magnetization comes out at 0.00 μB/atom.

***

(12)
VASP calculation (GGA-PBE) on Ac2HPd6Pt after structural relaxation.

It has space group R-3m (No. 166, hexagonal axes), with a = 5.7768 Å, b = 5.7768 Å, c = 19.4558 Å, α = 90.00°, β = 90.00° and γ = 120.00°. Symmetry generates all atoms from Ac at (0.0000, 0.0000, 0.2213), H at (0.0000, 0.0000, 0.0000), Pd at (0.0019, 0.5010, 0.2757) and Pt at (0.0000, 0.0000, 0.5000).

The value obtained for the total energy is -5.5414 eV/atom. Its density of states at the Fermi level is 4.3 states/eV/f.u. The crystal system is trigonal. The spin magnetization comes out at 0.00 μB/atom.